1.
# SrP4, optimized geometry, DFT PBE-GGA
# DOS at the Fermi energy ... 0.00 states/eV/f.u.
# Energy above the most stable polymorph in this dataset ... 0.00 eV/f.u.
# Formation energy ... -0.47 eV/atom
# Theoretical density ... 2.73 Mg/m³
data_SrP4
_cell_length_a 5.3541
_cell_length_b 6.0837
_cell_length_c 7.9749
_cell_angle_alpha 97.43
_cell_angle_beta 90.00
_cell_angle_gamma 90.00
_space_group_name_H-M_alt 'P 1'
_space_group_IT_number 1
loop_
_space_group_symop_operation_xyz
'x,y,z'
loop_
_atom_site_label
_atom_site_fract_x
_atom_site_fract_y
_atom_site_fract_z
_atom_site_occupancy
Sr1 0.0000 0.0000 0.0000 1
Sr2 0.5000 0.0000 0.5000 1
P1 0.2897 0.3047 0.2623 1
P2 0.7897 0.6953 0.2377 1
P3 0.7103 0.6953 0.7377 1
P4 0.2103 0.3047 0.7623 1
P5 0.9127 0.4080 0.6044 1
P6 0.4127 0.5920 0.8956 1
P7 0.0873 0.5920 0.3956 1
P8 0.5873 0.4080 0.1044 1

***

2.
# Sr5P, optimized geometry, DFT PBE-GGA
# DOS at the Fermi energy ... 8.77 states/eV/f.u.
# Energy above the most stable polymorph in this dataset ... 5.29 eV/f.u.
# Formation energy ... 0.56 eV/atom
# Theoretical density ... 2.48 Mg/m³
data_Sr5P
_cell_length_a 7.2229
_cell_length_b 7.2229
_cell_length_c 6.9392
_cell_angle_alpha 90.00
_cell_angle_beta 90.00
_cell_angle_gamma 120.00
_space_group_name_H-M_alt 'P 1'
_space_group_IT_number 1
loop_
_space_group_symop_operation_xyz
'x,y,z'
loop_
_atom_site_label
_atom_site_fract_x
_atom_site_fract_y
_atom_site_fract_z
_atom_site_occupancy
Sr1 0.3333 0.6667 0.0000 1
Sr2 0.6667 0.3333 0.0000 1
Sr3 0.5000 0.0000 0.5000 1
Sr4 0.0000 0.5000 0.5000 1
Sr5 0.5000 0.5000 0.5000 1
P1 0.0000 0.0000 0.0000 1

***

3.
# SrP, optimized geometry, DFT PBE-GGA
# DOS at the Fermi energy ... 1.85 states/eV/f.u.
# Formation energy ... -0.05 eV/atom
# Theoretical density ... 3.99 Mg/m³
data_SrP
_cell_length_a 5.1876
_cell_length_b 5.1876
_cell_length_c 5.1876
_cell_angle_alpha 60.00
_cell_angle_beta 60.00
_cell_angle_gamma 60.00
_space_group_name_H-M_alt 'P 1'
_space_group_IT_number 1
loop_
_space_group_symop_operation_xyz
'x,y,z'
loop_
_atom_site_label
_atom_site_fract_x
_atom_site_fract_y
_atom_site_fract_z
_atom_site_occupancy
Sr1 0.0000 0.0000 0.0000 1
Sr2 0.2500 0.2500 0.2500 1
P1 0.5000 0.5000 0.5000 1
P2 0.7500 0.7500 0.7500 1

***

4.
# SrP, optimized geometry, DFT PBE-GGA
# DOS at the Fermi energy ... 2.37 states/eV/f.u.
# Formation energy ... -0.49 eV/atom
# Theoretical density ... 3.17 Mg/m³
data_SrP
_cell_length_a 8.1508
_cell_length_b 8.1508
_cell_length_c 8.1508
_cell_angle_alpha 30.58
_cell_angle_beta 30.58
_cell_angle_gamma 30.58
_space_group_name_H-M_alt 'P 1'
_space_group_IT_number 1
loop_
_space_group_symop_operation_xyz
'x,y,z'
loop_
_atom_site_label
_atom_site_fract_x
_atom_site_fract_y
_atom_site_fract_z
_atom_site_occupancy
Sr1 0.4153 0.4153 0.4153 1
Sr2 0.5847 0.5847 0.5847 1
P1 0.8312 0.8312 0.8312 1
P2 0.1688 0.1688 0.1688 1

***

5.
# SrP, optimized geometry, DFT PBE-GGA
# Formation energy ... -1.05 eV/atom
# Theoretical density ... 3.44 Mg/m³
data_SrP
_cell_length_a 6.0466
_cell_length_b 8.1003
_cell_length_c 8.1003
_cell_angle_alpha 120.00
_cell_angle_beta 90.00
_cell_angle_gamma 90.00
_space_group_name_H-M_alt 'P 1'
_space_group_IT_number 1
loop_
_space_group_symop_operation_xyz
'x,y,z'
loop_
_atom_site_label
_atom_site_fract_x
_atom_site_fract_y
_atom_site_fract_z
_atom_site_occupancy
Sr1 0.5000 0.0000 0.6407 1
Sr2 0.5000 0.6407 0.0000 1
Sr3 0.5000 0.3593 0.3593 1
Sr4 0.0000 0.0000 0.3057 1
Sr5 0.0000 0.3057 0.0000 1
Sr6 0.0000 0.6943 0.6943 1
P1 0.8078 0.3333 0.6667 1
P2 0.1921 0.3333 0.6667 1
P3 0.1921 0.6667 0.3333 1
P4 0.8078 0.6667 0.3333 1
P5 0.3130 0.0000 0.0000 1
P6 0.6871 0.0000 0.0000 1

***

6.
# Sr3P2, optimized geometry, DFT PBE-GGA
# DOS at the Fermi energy ... 0.16 states/eV/f.u.
# Energy above the most stable polymorph in this dataset ... 0.00 eV/f.u.
# Formation energy ... -1.05 eV/atom
# Theoretical density ... 3.51 Mg/m³
data_Sr3P2
_cell_length_a 9.3786
_cell_length_b 9.3786
_cell_length_c 15.4813
_cell_angle_alpha 107.63
_cell_angle_beta 107.63
_cell_angle_gamma 90.00
_space_group_name_H-M_alt 'P 1'
_space_group_IT_number 1
loop_
_space_group_symop_operation_xyz
'x,y,z'
loop_
_atom_site_label
_atom_site_fract_x
_atom_site_fract_y
_atom_site_fract_z
_atom_site_occupancy
Sr1 0.3032 0.1772 0.2208 1
Sr2 0.6228 0.3726 0.1288 1
Sr3 0.7440 0.3774 0.3712 1
Sr4 0.5060 0.7562 0.1288 1
Sr5 0.6272 0.9938 0.3712 1
Sr6 0.9176 0.0436 0.2208 1
Sr7 0.9468 0.7064 0.2792 1
Sr8 0.9344 0.8505 0.5390 1
Sr9 0.3115 0.0656 0.4610 1
Sr10 0.3324 0.5728 0.2792 1
Sr11 0.4272 0.0532 0.7208 1
Sr12 0.1495 0.3954 0.4610 1
Sr13 0.2936 0.6676 0.7208 1
Sr14 0.6046 0.6885 0.5390 1
Sr15 0.6226 0.3728 0.6288 1
Sr16 0.6274 0.4940 0.8712 1
Sr17 0.9564 0.6968 0.7792 1
Sr18 0.0062 0.2560 0.6288 1
Sr19 0.1005 0.6844 0.0390 1
Sr20 0.8228 0.0824 0.7792 1
Sr21 0.9385 0.3546 0.0390 1
Sr22 0.2438 0.3772 0.8712 1
Sr23 0.3156 0.0615 0.9610 1
Sr24 0.6454 0.8995 0.9610 1
P1 0.5875 0.0875 0.1750 1
P2 0.0037 0.3750 0.2500 1
P3 0.6625 0.6625 0.3250 1
P4 0.9744 0.0639 0.4254 1
P5 0.4510 0.3615 0.4254 1
P6 0.2463 0.8750 0.2500 1
P7 0.6385 0.0256 0.5746 1
P8 0.6250 0.7537 0.7500 1
P9 0.3375 0.3375 0.6750 1
P10 0.9361 0.5490 0.5746 1
P11 0.1250 0.9963 0.7500 1
P12 0.9125 0.4125 0.8250 1
P13 0.3139 0.7244 0.9254 1
P14 0.2756 0.3885 0.0746 1
P15 0.7990 0.6861 0.0746 1
P16 0.6115 0.2010 0.9254 1

***

7.
# Sr4P3, optimized geometry, DFT PBE-GGA
# DOS at the Fermi energy ... 7.64 states/eV/f.u.
# Formation energy ... -1.01 eV/atom
# Theoretical density ... 3.68 Mg/m³
data_Sr4P3
_cell_length_a 8.0414
_cell_length_b 8.0414
_cell_length_c 8.0414
_cell_angle_alpha 109.47
_cell_angle_beta 109.47
_cell_angle_gamma 109.47
_space_group_name_H-M_alt 'P 1'
_space_group_IT_number 1
loop_
_space_group_symop_operation_xyz
'x,y,z'
loop_
_atom_site_label
_atom_site_fract_x
_atom_site_fract_y
_atom_site_fract_z
_atom_site_occupancy
Sr1 0.3641 0.5000 0.0000 1
Sr2 0.5000 0.3641 0.5000 1
Sr3 0.0000 0.0000 0.3641 1
Sr4 0.6359 0.1359 0.1359 1
Sr5 0.0000 0.0000 0.8641 1
Sr6 0.1359 0.6359 0.6359 1
Sr7 0.8641 0.5000 0.0000 1
Sr8 0.5000 0.8641 0.5000 1
P1 0.1250 0.3750 0.2500 1
P2 0.6250 0.7500 0.8750 1
P3 0.8750 0.2500 0.6250 1
P4 0.2500 0.8750 0.1250 1
P5 0.7500 0.6250 0.3750 1
P6 0.3750 0.1250 0.7500 1

***

8.
# SrP3, optimized geometry, DFT PBE-GGA
# DOS at the Fermi energy ... 1.78 states/eV/f.u.
# Formation energy ... -0.15 eV/atom
# Theoretical density ... 3.41 Mg/m³
data_SrP3
_cell_length_a 9.6013
_cell_length_b 9.6013
_cell_length_c 9.6013
_cell_angle_alpha 153.51
_cell_angle_beta 153.51
_cell_angle_gamma 37.81
_space_group_name_H-M_alt 'P 1'
_space_group_IT_number 1
loop_
_space_group_symop_operation_xyz
'x,y,z'
loop_
_atom_site_label
_atom_site_fract_x
_atom_site_fract_y
_atom_site_fract_z
_atom_site_occupancy
Sr1 0.6290 0.6290 0.0000 1
Sr2 0.3710 0.3710 0.0000 1
P1 0.0000 0.5000 0.5000 1
P2 0.5000 0.0000 0.5000 1
P3 0.7500 0.2500 0.5000 1
P4 0.2500 0.7500 0.5000 1
P5 0.9394 0.9394 0.0000 1
P6 0.0606 0.0606 0.0000 1

***

9.
# SrP2, optimized geometry, DFT PBE-GGA
# DOS at the Fermi energy ... 1.27 states/eV/f.u.
# Formation energy ... -0.52 eV/atom
# Theoretical density ... 3.15 Mg/m³
data_SrP2
_cell_length_a 3.9711
_cell_length_b 5.7959
_cell_length_c 6.8481
_cell_angle_alpha 90.00
_cell_angle_beta 90.00
_cell_angle_gamma 90.00
_space_group_name_H-M_alt 'P 1'
_space_group_IT_number 1
loop_
_space_group_symop_operation_xyz
'x,y,z'
loop_
_atom_site_label
_atom_site_fract_x
_atom_site_fract_y
_atom_site_fract_z
_atom_site_occupancy
Sr1 0.0000 0.0000 0.0000 1
Sr2 0.5000 0.5000 0.5000 1
P1 0.7408 0.0000 0.4182 1
P2 0.2592 0.0000 0.5818 1
P3 0.2408 0.5000 0.0818 1
P4 0.7592 0.5000 0.9182 1

***

10.
# Sr7P, optimized geometry, DFT PBE-GGA
# DOS at the Fermi energy ... 8.25 states/eV/f.u.
# Formation energy ... 0.04 eV/atom
# Theoretical density ... 2.94 Mg/m³
data_Sr7P
_cell_length_a 8.0175
_cell_length_b 8.0175
_cell_length_c 8.0175
_cell_angle_alpha 60.00
_cell_angle_beta 60.00
_cell_angle_gamma 60.00
_space_group_name_H-M_alt 'P 1'
_space_group_IT_number 1
loop_
_space_group_symop_operation_xyz
'x,y,z'
loop_
_atom_site_label
_atom_site_fract_x
_atom_site_fract_y
_atom_site_fract_z
_atom_site_occupancy
Sr1 0.5000 0.5000 0.0000 1
Sr2 0.5000 0.0000 0.5000 1
Sr3 0.5000 0.0000 0.0000 1
Sr4 0.0000 0.0000 0.5000 1
Sr5 0.0000 0.5000 0.0000 1
Sr6 0.0000 0.5000 0.5000 1
Sr7 0.5000 0.5000 0.5000 1
P1 0.0000 0.0000 0.0000 1

***

11.
# SrP2, optimized geometry, DFT PBE-GGA
# DOS at the Fermi energy ... 0.75 states/eV/f.u.
# Formation energy ... -0.64 eV/atom
# Theoretical density ... 3.55 Mg/m³
data_SrP2
_cell_length_a 4.6647
_cell_length_b 4.2644
_cell_length_c 9.4490
_cell_angle_alpha 62.65
_cell_angle_beta 75.71
_cell_angle_gamma 56.84
_space_group_name_H-M_alt 'P 1'
_space_group_IT_number 1
loop_
_space_group_symop_operation_xyz
'x,y,z'
loop_
_atom_site_label
_atom_site_fract_x
_atom_site_fract_y
_atom_site_fract_z
_atom_site_occupancy
Sr1 0.0000 0.7500 0.2500 1
Sr2 0.0000 0.2500 0.7500 1
P1 0.6485 0.6963 0.0069 1
P2 0.3517 0.8037 0.4931 1
P3 0.6483 0.1963 0.5069 1
P4 0.3515 0.3037 0.9931 1

***

12.
# Sr3P, optimized geometry, DFT PBE-GGA
# DOS at the Fermi energy ... 4.92 states/eV/f.u.
# Energy above the most stable polymorph in this dataset ... 2.64 eV/f.u.
# Formation energy ... 0.05 eV/atom
# Theoretical density ... 3.38 Mg/m³
data_Sr3P
_cell_length_a 6.5548
_cell_length_b 6.5548
_cell_length_c 6.5548
_cell_angle_alpha 115.87
_cell_angle_beta 115.87
_cell_angle_gamma 115.87
_space_group_name_H-M_alt 'P 1'
_space_group_IT_number 1
loop_
_space_group_symop_operation_xyz
'x,y,z'
loop_
_atom_site_label
_atom_site_fract_x
_atom_site_fract_y
_atom_site_fract_z
_atom_site_occupancy
Sr1 0.5000 0.0000 0.5000 1
Sr2 0.0000 0.5000 0.5000 1
Sr3 0.5000 0.5000 0.0000 1
P1 0.0000 0.0000 0.0000 1